Arrangement A

Below is a geometry-optimized MgOs2O structure, with properties calculated at the PBE level.

Cell and atoms, written as CIF:
```
data_MgOs2O
_chemical_formula_sum 'Mg4 Os8 O4'
_cell_length_a 4.686
_cell_length_b 4.686
_cell_length_c 13.309
_cell_angle_alpha 90.00
_cell_angle_beta 90.00
_cell_angle_gamma 90.00
_space_group_name_H-M_alt 'I -4 2 d'
_space_group_IT_number 122
_space_group_name_Hall 'I -4 2bw'
loop_
_atom_site_label
_atom_site_type_symbol
_atom_site_fract_x
_atom_site_fract_y
_atom_site_fract_z
Mg1 Mg 0.000 0.000 0.000
Os1 Os 0.052 0.750 0.625
O1 O 0.000 0.000 0.500
```

Arrangement B

Below is a geometry-optimized MgOs2O structure, with properties calculated at the PBE level.

Cell and atoms, written as CIF:
```
data_MgOs2O
_chemical_formula_sum 'Mg4 Os8 O4'
_cell_length_a 5.968
_cell_length_b 5.968
_cell_length_c 5.968
_cell_angle_alpha 90.00
_cell_angle_beta 90.00
_cell_angle_gamma 90.00
_space_group_name_H-M_alt 'F m -3 m'
_space_group_IT_number 225
_space_group_name_Hall '-F 4 2 3'
loop_
_atom_site_label
_atom_site_type_symbol
_atom_site_fract_x
_atom_site_fract_y
_atom_site_fract_z
Mg1 Mg 0.000 0.000 0.000
Os1 Os 0.250 0.250 0.250
O1 O 0.000 0.000 0.500
```

Stability ranking, top and bottom: arrangement A is the most stable and arrangement B is the least stable.